This record from Alexandria via LeMat-Bulk describes a relaxed structure of Mg2MnFeRe. The functional is GGA-PBE.

Cell: 4.9725 4.9725 4.3157 Å, 90.00 90.00 90.00°
Last column: nearest neighbours and their distance in Å.
Space group P4/mmm (No. 123)
Asymmetric unit:
Mg: 0.0000 0.5000 0.0000 (multiplicity 2)  2 Re 2.49
Mn: 0.0000 0.0000 0.5000 (multiplicity 1)  8 Mg 3.29, 4 Fe 3.52
Fe: 0.5000 0.5000 0.5000 (multiplicity 1)  2 Re 2.16
Re: 0.5000 0.5000 0.0000 (multiplicity 1)  2 Fe 2.16

Values from the calculation:
- Raw total energy: -4.86 eV/atom
- ΔE_f: 1.79 eV/atom
- Magnetization: 0.0 μB/f.u.